# 1
An optimized crystal structure of Sn2PtBr. Source: the Alexandria database, functional GGA-PBEsol.

Summary:
Formation energy (no corrections) ... -25 meV/atom
V ... 21.6 Å³ per atom

a = 7.0211 Å, b = 7.0211 Å, c = 7.0211 Å
α = 90.00°, β = 90.00°, γ = 90.00°
Last column: nearest neighbours and their distance in Å.
Fractional positions:
Sn  0.2500  0.2500  0.2500  4 Br 3.04, 4 Pt 3.04
Sn  0.2500  0.2500  0.7500  4 Br 3.04, 4 Pt 3.04
Sn  0.2500  0.7500  0.2500  4 Br 3.04, 4 Pt 3.04
Sn  0.2500  0.7500  0.7500  4 Br 3.04, 4 Pt 3.04
Sn  0.7500  0.2500  0.2500  4 Br 3.04, 4 Pt 3.04
Sn  0.7500  0.2500  0.7500  4 Br 3.04, 4 Pt 3.04
Sn  0.7500  0.7500  0.2500  4 Br 3.04, 4 Pt 3.04
Sn  0.7500  0.7500  0.7500  4 Pt 3.04, 4 Br 3.04
Pt  0.0000  0.0000  0.0000  8 Sn 3.04
Pt  0.0000  0.5000  0.5000  8 Sn 3.04
Pt  0.5000  0.0000  0.5000  8 Sn 3.04
Pt  0.5000  0.5000  0.0000  8 Sn 3.04
Br  0.0000  0.0000  0.5000  8 Sn 3.04
Br  0.0000  0.5000  0.0000  8 Sn 3.04
Br  0.5000  0.0000  0.0000  8 Sn 3.04
Br  0.5000  0.5000  0.5000  8 Sn 3.04

=====

# 2
An optimized crystal structure of TaPt2Br. Source: the Alexandria database, functional GGA-PBEsol.

Summary:
Formation energy (no corrections) ... 451 meV/atom
V ... 17.3 Å³ per atom

a = 4.9979 Å, b = 4.9979 Å, c = 2.7646 Å
α = 90.00°, β = 90.00°, γ = 90.00°
Last column: nearest neighbours and their distance in Å.
Fractional positions:
Ta  0.0000  0.0000  0.0000  2 Ta 2.76, 8 Pt 2.86
Pt  0.0000  0.5000  0.5000  2 Pt 2.76, 4 Ta 2.86, 4 Br 2.86
Pt  0.5000  0.0000  0.5000  2 Pt 2.76, 4 Ta 2.86, 4 Br 2.86
Br  0.5000  0.5000  0.0000  2 Br 2.76, 8 Pt 2.86

=====

# 3
An optimized crystal structure of TaPt2Br. Source: the Alexandria database, functional GGA-PBEsol.

Summary:
Formation energy (no corrections) ... 157 meV/atom
V ... 16.7 Å³ per atom

a = 9.6761 Å, b = 2.9627 Å, c = 4.6744 Å
α = 90.00°, β = 94.73°, γ = 90.00°
Last column: nearest neighbours and their distance in Å.
Fractional positions:
Ta  0.0000  0.0000  0.0000  4 Br 2.77, 6 Pt 2.82-2.92, 2 Ta 2.96
Ta  0.5000  0.5000  0.0000  4 Br 2.77, 6 Pt 2.82-2.92, 2 Ta 2.96
Pt  0.2296  0.5000  0.2355  1 Br 2.63, 4 Pt 2.71-2.88, 3 Ta 2.82-2.92
Pt  0.2704  0.0000  0.7645  1 Br 2.63, 4 Pt 2.71-2.88, 3 Ta 2.82-2.92
Pt  0.7296  0.0000  0.2355  1 Br 2.63, 4 Pt 2.71-2.88, 3 Ta 2.82-2.92
Pt  0.7704  0.5000  0.7645  1 Br 2.63, 4 Pt 2.71-2.88, 3 Ta 2.82-2.92
Br  0.0000  0.5000  0.5000  2 Pt 2.63, 4 Ta 2.77
Br  0.5000  0.0000  0.5000  2 Pt 2.63, 4 Ta 2.77

=====

# 4
An optimized crystal structure of Tc2PtBr. Source: the Alexandria database, functional GGA-PBEsol.

Summary:
Formation energy (no corrections) ... 818 meV/atom
V ... 15.6 Å³ per atom

a = 2.8039 Å, b = 4.8023 Å, c = 9.2734 Å
α = 90.00°, β = 90.00°, γ = 90.00°
Last column: nearest neighbours and their distance in Å.
Fractional positions:
Tc  0.0000  0.0000  0.2478  2 Pt 2.69, 2 Br 2.73, 6 Tc 2.78-2.80
Tc  0.0000  0.0000  0.7522  2 Pt 2.69, 2 Br 2.73, 6 Tc 2.78-2.80
Tc  0.5000  0.5000  0.2478  2 Pt 2.69, 2 Br 2.73, 6 Tc 2.78-2.80
Tc  0.5000  0.5000  0.7522  2 Pt 2.69, 2 Br 2.73, 6 Tc 2.78-2.80
Pt  0.0000  0.5000  0.0000  4 Tc 2.69, 6 Pt 2.78-2.80
Pt  0.5000  0.0000  0.0000  4 Tc 2.69, 6 Pt 2.78-2.80
Br  0.0000  0.5000  0.5000  4 Tc 2.73, 6 Br 2.78-2.80
Br  0.5000  0.0000  0.5000  4 Tc 2.73, 6 Br 2.78-2.80